# BeInAsSe2

A geometry-optimized BeInAsSe2 structure (PBE, Alexandria).

The value obtained for the spin magnetization is 0.00 μB per cell. As for the excess energy over the best structure of this formula in the dataset: 0.0 meV/atom. The calculated volume comes out at 21.10 Å³/atom. The uncorrected formation energy comes out at 0.2148 eV per atom.

It has space group P4/mmm (No. 123), with a = 4.996 Å, b = 4.996 Å, c = 4.227 Å, α = 90.00°, β = 90.00° and γ = 90.00°. The asymmetric unit holds Be at (0.000, 0.000, 0.000), In at (0.500, 0.500, 0.500), As at (0.000, 0.000, 0.500) and Se at (0.000, 0.500, 0.000).